1.
Here is a geometry-optimized Ce5Er3Te8 structure from the Alexandria database. Energies are from GGA-PBE.

Output
Volume, Å³/cell: 490.4
Uncorrected energy, eV per cell: -89.6
Mass density, g/cm³: 7.5

Lattice parameters (Å, degrees): 8.900 8.900 8.900 59.29 59.29 59.29
Atoms (fractional coordinates):
Ce (0.000, 0.000, 0.000)
Ce (0.000, 0.500, 0.500)
Ce (0.500, 0.000, 0.500)
Ce (0.500, 0.500, 0.000)
Ce (0.500, 0.500, 0.500)
Er (0.000, 0.000, 0.500)
Er (0.000, 0.500, 0.000)
Er (0.500, 0.000, 0.000)
Te (0.240, 0.750, 0.750)
Te (0.245, 0.245, 0.245)
Te (0.250, 0.250, 0.760)
Te (0.250, 0.760, 0.250)
Te (0.750, 0.240, 0.750)
Te (0.750, 0.750, 0.240)
Te (0.755, 0.755, 0.755)
Te (0.760, 0.250, 0.250)

2.
Here is a geometry-optimized CeEr3Te4 structure from the Alexandria database. Energies are from GGA-PBE.

Output
Volume, Å³/cell: 469.6
Uncorrected energy, eV per cell: -84.5
Mass density, g/cm³: 8.1

Lattice parameters (Å, degrees): 7.639 8.643 7.524 90.00 109.02 90.00
Atoms (fractional coordinates):
Ce (0.000, 0.121, 0.250)
Ce (0.000, 0.879, 0.750)
Er (0.000, 0.368, 0.750)
Er (0.000, 0.632, 0.250)
Er (0.500, 0.126, 0.750)
Er (0.500, 0.374, 0.250)
Er (0.500, 0.626, 0.750)
Er (0.500, 0.874, 0.250)
Te (0.252, 0.381, 0.503)
Te (0.252, 0.619, 0.003)
Te (0.262, 0.129, 0.002)
Te (0.262, 0.871, 0.502)
Te (0.738, 0.129, 0.498)
Te (0.738, 0.871, 0.998)
Te (0.748, 0.381, 0.997)
Te (0.748, 0.619, 0.497)

3.
Here is a geometry-optimized CeErTe structure from the Alexandria database. Energies are from GGA-PBE.

Output
Volume, Å³/cell: 88.0
Uncorrected energy, eV per cell: -15.7
Mass density, g/cm³: 8.2

Lattice parameters (Å, degrees): 6.421 6.421 6.421 144.68 144.68 50.80
Atoms (fractional coordinates):
Ce (0.000, 0.000, 0.000)
Er (0.305, 0.305, 0.000)
Te (0.668, 0.668, 0.000)

4.
Here is a geometry-optimized CeEr6Te8 structure from the Alexandria database. Energies are from GGA-PBE.

Output
Volume, Å³/cell: 456.7
Uncorrected energy, eV per cell: -75.9
Mass density, g/cm³: 7.9

Lattice parameters (Å, degrees): 8.132 8.132 8.132 69.63 69.63 69.63
Atoms (fractional coordinates):
Ce (0.000, 0.000, 0.000)
Er (0.076, 0.693, 0.451)
Er (0.307, 0.549, 0.924)
Er (0.451, 0.076, 0.693)
Er (0.549, 0.924, 0.307)
Er (0.693, 0.451, 0.076)
Er (0.924, 0.307, 0.549)
Te (0.103, 0.374, 0.807)
Te (0.193, 0.897, 0.626)
Te (0.325, 0.325, 0.325)
Te (0.374, 0.807, 0.103)
Te (0.626, 0.193, 0.897)
Te (0.675, 0.675, 0.675)
Te (0.807, 0.103, 0.374)
Te (0.897, 0.626, 0.193)

5.
Here is a geometry-optimized Ce2ErTe3 structure from the Alexandria database. Energies are from GGA-PBE.

Output
Volume, Å³/cell: 369.3
Uncorrected energy, eV per cell: -67.6
Mass density, g/cm³: 7.5

Lattice parameters (Å, degrees): 7.652 7.652 7.724 99.52 99.52 120.09
Atoms (fractional coordinates):
Ce (0.000, 0.000, 0.000)
Ce (0.161, 0.839, 0.500)
Ce (0.500, 0.500, 0.500)
Ce (0.839, 0.161, 0.500)
Er (0.331, 0.669, 0.000)
Er (0.669, 0.331, 0.000)
Te (0.081, 0.423, 0.243)
Te (0.265, 0.265, 0.765)
Te (0.423, 0.081, 0.243)
Te (0.577, 0.919, 0.757)
Te (0.735, 0.735, 0.235)
Te (0.919, 0.577, 0.757)

6.
Here is a geometry-optimized CeErTe structure from the Alexandria database. Energies are from GGA-PBE.

Output
Volume, Å³/cell: 159.9
Uncorrected energy, eV per cell: -32.3
Mass density, g/cm³: 9.0

Lattice parameters (Å, degrees): 4.231 4.240 8.916 90.00 90.68 90.00
Atoms (fractional coordinates):
Ce (0.227, 0.250, 0.001)
Ce (0.773, 0.750, 0.999)
Er (0.247, 0.750, 0.367)
Er (0.753, 0.250, 0.633)
Te (0.256, 0.750, 0.714)
Te (0.744, 0.250, 0.286)

7.
Here is a geometry-optimized CeEr2Te structure from the Alexandria database. Energies are from GGA-PBE.

Output
Volume, Å³/cell: 113.9
Uncorrected energy, eV per cell: -20.2
Mass density, g/cm³: 8.8

Lattice parameters (Å, degrees): 3.810 3.810 7.844 90.00 90.00 90.00
Atoms (fractional coordinates):
Ce (0.000, 0.000, 0.000)
Er (0.500, 0.500, 0.275)
Er (0.500, 0.500, 0.725)
Te (0.000, 0.000, 0.500)

8.
Here is a geometry-optimized CeEr2Te structure from the Alexandria database. Energies are from GGA-PBE.

Output
Volume, Å³/cell: 124.6
Uncorrected energy, eV per cell: -19.9
Mass density, g/cm³: 8.0

Lattice parameters (Å, degrees): 3.780 3.780 10.072 90.00 90.00 120.00
Atoms (fractional coordinates):
Ce (0.000, 0.000, 0.000)
Er (0.333, 0.667, 0.285)
Er (0.333, 0.667, 0.715)
Te (0.000, 0.000, 0.500)

9.
Here is a geometry-optimized CeEr2Te4 structure from the Alexandria database. Energies are from GGA-PBE.

Output
Volume, Å³/cell: 458.3
Uncorrected energy, eV per cell: -74.2
Mass density, g/cm³: 7.1

Lattice parameters (Å, degrees): 7.449 7.449 14.894 90.00 90.00 146.32
Atoms (fractional coordinates):
Ce (0.121, 0.879, 0.750)
Ce (0.879, 0.121, 0.250)
Er (0.368, 0.632, 0.566)
Er (0.368, 0.632, 0.934)
Er (0.632, 0.368, 0.066)
Er (0.632, 0.368, 0.434)
Te (0.000, 0.000, 0.000)
Te (0.000, 0.000, 0.500)
Te (0.274, 0.726, 0.120)
Te (0.274, 0.726, 0.380)
Te (0.455, 0.545, 0.750)
Te (0.545, 0.455, 0.250)
Te (0.726, 0.274, 0.620)
Te (0.726, 0.274, 0.880)

10.
Here is a geometry-optimized Ce2Er5Te4 structure from the Alexandria database. Energies are from GGA-PBE.

Output
Volume, Å³/cell: 354.8
Uncorrected energy, eV per cell: -54.4
Mass density, g/cm³: 7.6

Lattice parameters (Å, degrees): 12.691 12.691 7.322 95.66 95.66 17.60
Atoms (fractional coordinates):
Ce (0.091, 0.091, 0.185)
Ce (0.909, 0.909, 0.815)
Er (0.143, 0.143, 0.649)
Er (0.236, 0.236, 0.294)
Er (0.500, 0.500, 0.500)
Er (0.764, 0.764, 0.706)
Er (0.857, 0.857, 0.351)
Te (0.034, 0.034, 0.794)
Te (0.326, 0.326, 0.007)
Te (0.674, 0.674, 0.993)
Te (0.966, 0.966, 0.206)

11.
Here is a geometry-optimized CeErTe6 structure from the Alexandria database. Energies are from GGA-PBE.

Output
Volume, Å³/cell: 254.8
Uncorrected energy, eV per cell: -36.8
Mass density, g/cm³: 7.0

Lattice parameters (Å, degrees): 4.378 13.472 13.472 18.70 90.00 90.00
Atoms (fractional coordinates):
Ce (0.000, 0.000, 0.000)
Er (0.500, 0.657, 0.657)
Te (0.000, 0.122, 0.122)
Te (0.000, 0.408, 0.408)
Te (0.000, 0.749, 0.749)
Te (0.500, 0.249, 0.249)
Te (0.500, 0.536, 0.536)
Te (0.500, 0.908, 0.908)

12.
Here is a geometry-optimized CeErTe structure from the Alexandria database. Energies are from GGA-PBE.

Output
Volume, Å³/cell: 177.5
Uncorrected energy, eV per cell: -31.5
Mass density, g/cm³: 8.1

Lattice parameters (Å, degrees): 3.917 3.917 13.381 94.16 94.16 60.22
Atoms (fractional coordinates):
Ce (0.000, 0.000, 0.000)
Ce (0.503, 0.503, 0.145)
Er (0.236, 0.236, 0.468)
Er (0.935, 0.935, 0.674)
Te (0.629, 0.629, 0.831)
Te (0.874, 0.874, 0.312)

13.
Here is a geometry-optimized CeErTe structure from the Alexandria database. Energies are from GGA-PBE.

Output
Volume, Å³/cell: 89.8
Uncorrected energy, eV per cell: -15.1
Mass density, g/cm³: 8.0

Lattice parameters (Å, degrees): 5.181 5.181 3.865 90.00 90.00 120.00
Atoms (fractional coordinates):
Ce (0.000, 0.000, 0.000)
Er (0.667, 0.333, 0.500)
Te (0.333, 0.667, 0.501)

14.
Here is a geometry-optimized CeEr4Te5 structure from the Alexandria database. Energies are from GGA-PBE.

Output
Volume, Å³/cell: 291.7
Uncorrected energy, eV per cell: -52.4
Mass density, g/cm³: 8.2

Lattice parameters (Å, degrees): 7.612 7.612 10.658 118.44 118.44 32.97
Atoms (fractional coordinates):
Ce (0.000, 0.000, 0.000)
Er (0.204, 0.204, 0.800)
Er (0.403, 0.403, 0.608)
Er (0.597, 0.597, 0.392)
Er (0.796, 0.796, 0.200)
Te (0.000, 0.000, 0.500)
Te (0.205, 0.205, 0.310)
Te (0.394, 0.394, 0.104)
Te (0.606, 0.606, 0.896)
Te (0.795, 0.795, 0.690)

15.
Here is a geometry-optimized CeEr2Te structure from the Alexandria database. Energies are from GGA-PBE.

Output
Volume, Å³/cell: 131.1
Uncorrected energy, eV per cell: -18.8
Mass density, g/cm³: 7.6

Lattice parameters (Å, degrees): 10.945 10.945 10.945 19.76 19.76 19.76
Atoms (fractional coordinates):
Ce (0.000, 0.000, 0.000)
Er (0.101, 0.101, 0.101)
Er (0.899, 0.899, 0.899)
Te (0.500, 0.500, 0.500)

16.
Here is a geometry-optimized CeEr3Te structure from the Alexandria database. Energies are from GGA-PBE.

Output
Volume, Å³/cell: 293.3
Uncorrected energy, eV per cell: -49.9
Mass density, g/cm³: 8.7

Lattice parameters (Å, degrees): 8.377 3.818 9.345 90.00 101.05 90.00
Atoms (fractional coordinates):
Ce (0.144, 0.250, 0.015)
Ce (0.856, 0.750, 0.985)
Er (0.018, 0.750, 0.668)
Er (0.328, 0.750, 0.338)
Er (0.429, 0.750, 0.853)
Er (0.571, 0.250, 0.147)
Er (0.672, 0.250, 0.662)
Er (0.982, 0.250, 0.332)
Te (0.286, 0.250, 0.593)
Te (0.714, 0.750, 0.407)

17.
Here is a geometry-optimized CeEr8Te2 structure from the Alexandria database. Energies are from GGA-PBE.

Output
Volume, Å³/cell: 333.3
Uncorrected energy, eV per cell: -51.0
Mass density, g/cm³: 8.6

Lattice parameters (Å, degrees): 9.150 9.150 6.248 108.05 108.05 42.50
Atoms (fractional coordinates):
Ce (0.000, 0.000, 0.000)
Er (0.182, 0.653, 0.549)
Er (0.236, 0.236, 0.382)
Er (0.347, 0.818, 0.451)
Er (0.381, 0.381, 0.021)
Er (0.619, 0.619, 0.979)
Er (0.653, 0.182, 0.549)
Er (0.764, 0.764, 0.618)
Er (0.818, 0.347, 0.451)
Te (0.178, 0.178, 0.865)
Te (0.822, 0.822, 0.135)

18.
Here is a geometry-optimized CeEr3Te4 structure from the Alexandria database. Energies are from GGA-PBE.

Output
Volume, Å³/cell: 234.8
Uncorrected energy, eV per cell: -42.2
Mass density, g/cm³: 8.2

Lattice parameters (Å, degrees): 7.587 7.587 4.306 90.00 90.00 108.71
Atoms (fractional coordinates):
Ce (0.000, 0.000, 0.000)
Er (0.000, 0.500, 0.500)
Er (0.500, 0.000, 0.500)
Er (0.500, 0.500, 0.000)
Te (0.254, 0.746, 0.000)
Te (0.259, 0.259, 0.500)
Te (0.741, 0.741, 0.500)
Te (0.746, 0.254, 0.000)

19.
Here is a geometry-optimized CeEr2Te4 structure from the Alexandria database. Energies are from GGA-PBE.

Output
Volume, Å³/cell: 463.8
Uncorrected energy, eV per cell: -73.4
Mass density, g/cm³: 7.1

Lattice parameters (Å, degrees): 8.450 8.450 8.450 108.29 108.29 111.86
Atoms (fractional coordinates):
Ce (0.375, 0.625, 0.750)
Ce (0.625, 0.375, 0.250)
Er (0.000, 0.000, 0.000)
Er (0.000, 0.000, 0.500)
Er (0.000, 0.500, 0.000)
Er (0.500, 0.000, 0.500)
Te (0.125, 0.689, 0.436)
Te (0.246, 0.311, 0.936)
Te (0.311, 0.246, 0.436)
Te (0.311, 0.875, 0.064)
Te (0.689, 0.125, 0.936)
Te (0.689, 0.754, 0.564)
Te (0.754, 0.689, 0.064)
Te (0.875, 0.311, 0.564)

20.
Here is a geometry-optimized Ce2Er3ThTe6 structure from the Alexandria database. Energies are from GGA-PBE.

Output
Volume, Å³/cell: 361.3
Uncorrected energy, eV per cell: -66.7
Mass density, g/cm³: 8.2

Lattice parameters (Å, degrees): 9.993 9.993 9.012 106.79 106.79 24.85
Atoms (fractional coordinates):
Ce (0.164, 0.164, 0.326)
Ce (0.836, 0.836, 0.674)
Er (0.166, 0.166, 0.831)
Er (0.500, 0.500, 0.500)
Er (0.834, 0.834, 0.169)
Th (0.500, 0.500, 0.000)
Te (0.004, 0.004, 0.741)
Te (0.330, 0.330, 0.928)
Te (0.336, 0.336, 0.412)
Te (0.664, 0.664, 0.588)
Te (0.670, 0.670, 0.072)
Te (0.996, 0.996, 0.259)

21.
Here is a geometry-optimized Ce2ErTh3Te6 structure from the Alexandria database. Energies are from GGA-PBE.

Output
Volume, Å³/cell: 371.9
Uncorrected energy, eV per cell: -71.5
Mass density, g/cm³: 8.5

Lattice parameters (Å, degrees): 10.097 10.097 9.101 106.97 106.97 24.84
Atoms (fractional coordinates):
Ce (0.167, 0.167, 0.333)
Ce (0.833, 0.833, 0.667)
Er (0.500, 0.500, 0.000)
Th (0.169, 0.169, 0.833)
Th (0.500, 0.500, 0.500)
Th (0.831, 0.831, 0.167)
Te (0.001, 0.001, 0.761)
Te (0.333, 0.333, 0.420)
Te (0.339, 0.339, 0.919)
Te (0.661, 0.661, 0.081)
Te (0.667, 0.667, 0.580)
Te (0.999, 0.999, 0.239)

22.
Here is a geometry-optimized CeEr2Tl3Te6 structure from the Alexandria database. Energies are from GGA-PBE.

Output
Volume, Å³/cell: 427.6
Uncorrected energy, eV per cell: -53.3
Mass density, g/cm³: 7.2

Lattice parameters (Å, degrees): 7.764 7.764 8.588 98.67 98.67 119.98
Atoms (fractional coordinates):
Ce (0.000, 0.000, 0.000)
Er (0.333, 0.667, 0.000)
Er (0.667, 0.333, 0.000)
Tl (0.164, 0.836, 0.500)
Tl (0.500, 0.500, 0.500)
Tl (0.836, 0.164, 0.500)
Te (0.072, 0.415, 0.215)
Te (0.273, 0.273, 0.788)
Te (0.415, 0.072, 0.215)
Te (0.585, 0.928, 0.785)
Te (0.727, 0.727, 0.212)
Te (0.928, 0.585, 0.785)